First-principles (GGA-PBE) data for crystalline KVAgPb2 at its relaxed geometry, as listed in Alexandria via LeMat-Bulk.

Unit cell a=5.482 b=5.482 c=5.625 alpha=90.00 beta=90.00 gamma=90.00
Fractional coordinates of all 5 atoms:
K: 0.000 0.000 0.000
V: 0.500 0.500 0.000
Ag: 0.000 0.000 0.500
Pb: 0.000 0.500 0.500
Pb: 0.500 0.000 0.500

## Properties
Final energy in eV for the cell shown: -14.998
Symmetry: P4/mmm

***

First-principles (GGA-PBE) data for crystalline K2Ag3Pd at its relaxed geometry, as listed in Alexandria via LeMat-Bulk.

Unit cell a=10.112 b=5.836 c=5.824 alpha=90.00 beta=124.83 gamma=90.00
Fractional coordinates of all 12 atoms:
K: 0.127 0.000 0.373
K: 0.373 0.500 0.627
K: 0.627 0.500 0.373
K: 0.873 0.000 0.627
Ag: 0.000 0.500 0.500
Ag: 0.250 0.250 0.000
Ag: 0.250 0.750 0.000
Ag: 0.500 0.000 0.500
Ag: 0.750 0.250 0.000
Ag: 0.750 0.750 0.000
Pd: 0.000 0.500 0.000
Pd: 0.500 0.000 0.000

## Properties
Final energy in eV for the cell shown: -32.423
Symmetry: C2/m

***

First-principles (GGA-PBE) data for crystalline KAg7Pd5 at its relaxed geometry, as listed in Alexandria via LeMat-Bulk.

Unit cell a=7.237 b=7.237 c=7.237 alpha=136.06 beta=98.33 gamma=97.77
Fractional coordinates of all 13 atoms:
K: 0.000 0.000 0.000
Ag: 0.223 0.503 0.720
Ag: 0.230 0.730 0.500
Ag: 0.353 0.353 0.000
Ag: 0.354 0.004 0.351
Ag: 0.653 0.004 0.649
Ag: 0.654 0.654 0.000
Ag: 0.783 0.503 0.280
Pd: 0.002 0.003 0.498
Pd: 0.002 0.504 0.999
Pd: 0.506 0.003 0.001
Pd: 0.506 0.504 0.502
Pd: 0.768 0.268 0.500

## Properties
Final energy in eV for the cell shown: -47.298
Symmetry: Imm2

***

First-principles (GGA-PBE) data for crystalline K2AgPd3 at its relaxed geometry, as listed in Alexandria via LeMat-Bulk.

Unit cell a=9.749 b=5.632 c=5.728 alpha=90.00 beta=124.61 gamma=90.00
Fractional coordinates of all 12 atoms:
K: 0.124 0.000 0.372
K: 0.376 0.500 0.628
K: 0.624 0.500 0.372
K: 0.876 0.000 0.628
Ag: 0.000 0.500 0.500
Ag: 0.500 0.000 0.500
Pd: 0.000 0.500 0.000
Pd: 0.250 0.250 0.000
Pd: 0.250 0.750 0.000
Pd: 0.500 0.000 0.000
Pd: 0.750 0.250 0.000
Pd: 0.750 0.750 0.000

## Properties
Final energy in eV for the cell shown: -42.043
Symmetry: C2/m

***

First-principles (GGA-PBE) data for crystalline KAg3Pd at its relaxed geometry, as listed in Alexandria via LeMat-Bulk.

Unit cell a=7.363 b=7.363 c=5.426 alpha=90.00 beta=90.00 gamma=130.95
Fractional coordinates of all 10 atoms:
K: 0.086 0.914 0.750
K: 0.914 0.086 0.250
Ag: 0.116 0.428 0.750
Ag: 0.319 0.681 0.250
Ag: 0.428 0.116 0.250
Ag: 0.572 0.884 0.750
Ag: 0.681 0.319 0.750
Ag: 0.884 0.572 0.250
Pd: 0.500 0.500 0.000
Pd: 0.500 0.500 0.500

## Properties
Energy above the lowest structure with this stoichiometry in meV/atom: 0
Symmetry: Cmcm

***

First-principles (GGA-PBE) data for crystalline KAg3Pd at its relaxed geometry, as listed in Alexandria via LeMat-Bulk.

Unit cell a=6.762 b=6.762 c=12.800 alpha=90.00 beta=90.00 gamma=120.00
Fractional coordinates of all 20 atoms:
K: 0.000 0.000 0.000
K: 0.000 0.000 0.500
K: 0.333 0.667 0.250
K: 0.667 0.333 0.750
Ag: 0.000 0.500 0.000
Ag: 0.000 0.500 0.500
Ag: 0.134 0.269 0.750
Ag: 0.134 0.866 0.750
Ag: 0.269 0.134 0.250
Ag: 0.500 0.000 0.000
Ag: 0.500 0.000 0.500
Ag: 0.500 0.500 0.000
Ag: 0.500 0.500 0.500
Ag: 0.731 0.866 0.750
Ag: 0.866 0.134 0.250
Ag: 0.866 0.731 0.250
Pd: 0.333 0.667 0.644
Pd: 0.333 0.667 0.856
Pd: 0.667 0.333 0.144
Pd: 0.667 0.333 0.356

## Properties
Energy above the lowest structure with this stoichiometry in meV/atom: 120
Symmetry: P6_3/mmc

***

First-principles (GGA-PBE) data for crystalline KAg8Pd4 at its relaxed geometry, as listed in Alexandria via LeMat-Bulk.

Unit cell a=7.252 b=7.252 c=7.252 alpha=98.26 beta=98.26 gamma=135.47
Fractional coordinates of all 13 atoms:
K: 0.000 0.000 0.000
Ag: 0.000 0.349 0.349
Ag: 0.000 0.651 0.651
Ag: 0.274 0.500 0.774
Ag: 0.349 0.000 0.349
Ag: 0.500 0.274 0.774
Ag: 0.500 0.726 0.226
Ag: 0.651 0.000 0.651
Ag: 0.726 0.500 0.226
Pd: 0.000 0.000 0.500
Pd: 0.000 0.500 0.000
Pd: 0.500 0.000 0.000
Pd: 0.500 0.500 0.500

## Properties
Energy above the lowest structure with this stoichiometry in meV/atom: 0
Symmetry: I4/mmm

***

First-principles (GGA-PBE) data for crystalline KAg2Pd2 at its relaxed geometry, as listed in Alexandria via LeMat-Bulk.

Unit cell a=4.419 b=4.419 c=11.656 alpha=90.00 beta=90.00 gamma=90.00
Fractional coordinates of all 10 atoms:
K: 0.000 0.000 0.000
K: 0.500 0.500 0.500
Ag: 0.000 0.500 0.250
Ag: 0.000 0.500 0.750
Ag: 0.500 0.000 0.250
Ag: 0.500 0.000 0.750
Pd: 0.000 0.000 0.388
Pd: 0.000 0.000 0.612
Pd: 0.500 0.500 0.112
Pd: 0.500 0.500 0.888

## Properties
Energy above the lowest structure with this stoichiometry in meV/atom: 148
Symmetry: I4/mmm

***

| no. | V (Å³ per cell) |
| --- | --- |
| 1 | 169 |
| 2 | 282 |
| 3 | 244 |
| 4 | 259 |
| 5 | 222 |
| 6 | 507 |
| 7 | 248 |
| 8 | 228 |